Nd2Al3Ir | PBE | optimized geometry

Computed properties:
Calculated formation energy: -0.6277 eV per atom

Cell lengths 5.600, 5.600, 5.524 Å; angles 90.00, 120.50, 119.96 degrees
Fractional positions:
Al: 0.000 0.000 0.500
Al: 0.500 0.500 0.500
Al: 0.500 0.000 0.500
Nd: 0.253 0.626 0.879
Nd: 0.747 0.374 0.121
Ir: 0.000 0.000 0.000


NdAl2Ir | PBE | optimized geometry

Computed properties:
Calculated formation energy: -0.7852 eV per atom

Cell lengths 5.898, 7.049, 15.424 Å; angles 90.00, 90.00, 90.00 degrees
Fractional positions:
Ir: 0.782 0.750 0.690
Ir: 0.005 0.750 0.931
Ir: 0.505 0.250 0.569
Ir: 0.218 0.250 0.310
Ir: 0.718 0.750 0.190
Ir: 0.995 0.250 0.069
Ir: 0.282 0.250 0.810
Ir: 0.495 0.750 0.431
Al: 0.047 0.946 0.791
Al: 0.275 0.061 0.454
Al: 0.275 0.439 0.454
Al: 0.775 0.561 0.046
Al: 0.453 0.946 0.291
Al: 0.047 0.554 0.791
Al: 0.953 0.446 0.209
Al: 0.453 0.554 0.291
Al: 0.225 0.061 0.954
Al: 0.225 0.439 0.954
Al: 0.775 0.939 0.046
Al: 0.547 0.054 0.709
Al: 0.953 0.054 0.209
Al: 0.547 0.446 0.709
Al: 0.725 0.939 0.546
Al: 0.725 0.561 0.546
Nd: 0.471 0.250 0.137
Nd: 0.256 0.750 0.100
Nd: 0.971 0.750 0.363
Nd: 0.756 0.250 0.400
Nd: 0.244 0.750 0.600
Nd: 0.744 0.250 0.900
Nd: 0.029 0.250 0.637
Nd: 0.529 0.750 0.863


NdAl6Ir3 | PBE | optimized geometry

Computed properties:
Calculated formation energy: -0.7128 eV per atom

Cell lengths 4.241, 8.066, 10.097 Å; angles 85.89, 90.00, 90.00 degrees
Fractional positions:
Al: 0.250 0.203 0.969
Al: 0.250 0.583 0.443
Al: 0.250 0.304 0.255
Al: 0.750 0.696 0.745
Al: 0.250 0.574 0.912
Al: 0.250 0.903 0.570
Al: 0.250 0.360 0.719
Al: 0.750 0.797 0.031
Al: 0.750 0.417 0.557
Al: 0.750 0.426 0.088
Al: 0.750 0.097 0.430
Al: 0.750 0.640 0.281
Ir: 0.750 0.115 0.085
Ir: 0.750 0.760 0.499
Ir: 0.250 0.594 0.156
Ir: 0.750 0.406 0.844
Ir: 0.250 0.885 0.915
Ir: 0.250 0.240 0.501
Nd: 0.750 0.067 0.753
Nd: 0.250 0.933 0.247


NdAl3Ir | PBE | optimized geometry

Computed properties:
Relative energy among the computed polymorphs: 104 meV per atom
Calculated formation energy: -0.6360 eV per atom

Cell lengths 4.819, 6.276, 6.940 Å; angles 116.88, 90.00, 90.00 degrees
Fractional positions:
Al: 0.250 0.388 0.349
Al: 0.750 0.612 0.651
Al: 0.500 0.000 0.000
Al: 0.000 0.000 0.000
Al: 0.250 0.961 0.349
Al: 0.750 0.039 0.651
Ir: 0.250 0.817 0.633
Ir: 0.750 0.183 0.367
Nd: 0.250 0.402 0.805
Nd: 0.750 0.598 0.195


NdAl3Ir2 | PBE | optimized geometry

Computed properties:
Calculated formation energy: -0.8332 eV per atom

Cell lengths 5.640, 6.298, 6.298 Å; angles 101.00, 90.00, 90.00 degrees
Fractional positions:
Nd: 0.250 0.355 0.355
Nd: 0.750 0.645 0.645
Al: 0.750 0.458 0.096
Al: 0.750 0.036 0.036
Al: 0.750 0.096 0.458
Al: 0.250 0.964 0.964
Al: 0.250 0.904 0.542
Al: 0.250 0.542 0.904
Ir: 0.500 0.214 0.786
Ir: 0.000 0.214 0.786
Ir: 0.500 0.786 0.214
Ir: 0.000 0.786 0.214


NdAl2Ir | PBE | optimized geometry

Computed properties:
Calculated formation energy: -0.7235 eV per atom

Cell lengths 4.242, 4.242, 5.855 Å; angles 68.76, 68.76, 60.00 degrees
Fractional positions:
Al: 0.794 0.794 0.619
Al: 0.206 0.206 0.381
Ir: 0.500 0.500 0.500
Nd: 0.000 0.000 0.000


NdAl2Ir2 | PBE | optimized geometry

Computed properties:
Calculated formation energy: -0.8789 eV per atom

Cell lengths 4.281, 4.281, 10.224 Å; angles 90.00, 90.00, 90.00 degrees
Fractional positions:
Al: 0.000 0.500 0.378
Al: 0.500 0.000 0.622
Al: 0.000 0.000 0.000
Al: 0.500 0.500 0.000
Ir: 0.000 0.500 0.133
Ir: 0.000 0.000 0.500
Ir: 0.500 0.500 0.500
Ir: 0.500 0.000 0.867
Nd: 0.000 0.500 0.739
Nd: 0.500 0.000 0.261


NdAlIr | PBE | optimized geometry

Computed properties:
Calculated formation energy: -0.5921 eV per atom

Cell lengths 6.857, 6.857, 7.166 Å; angles 107.87, 107.87, 111.02 degrees
Fractional positions:
Al: 0.123 0.877 0.500
Al: 0.377 0.623 0.500
Al: 0.873 0.127 0.000
Al: 0.127 0.873 0.000
Ir: 0.425 0.925 0.851
Ir: 0.825 0.825 0.649
Ir: 0.075 0.575 0.149
Ir: 0.175 0.175 0.351
Nd: 0.625 0.375 0.250
Nd: 0.625 0.875 0.250
Nd: 0.125 0.375 0.750
Nd: 0.625 0.375 0.750


- Which of these has the highest calculated formation energy?
  NdAlIr


- Which value of calculated formation energy does entry 4 give?
  -0.6360 eV per atom


- What is the formula in the third record?
  NdAl6Ir3


- Among the records above, which one has the lowest calculated formation energy?
  NdAl2Ir2